A relaxed structure of Nd2NiAs3Ir4. Source: the Alexandria database, functional PBE-GGA.

Calculated values
Formation energy (eV/f.u.): -6.85
Magnetization (μB/f.u.): 0.03
Electronic total energy (eV/atom): -7.156

Cell lengths 4.2198, 4.2198, 10.1917 Å; angles 90.00, 90.00, 90.00 degrees
Space group P-4m2 (No. 115)
Unique sites:
1 Nd 0.0000 0.5000 0.2407
2 Ni 0.5000 0.5000 0.0000
3 As 0.0000 0.0000 0.0000
4 As 0.0000 0.5000 0.6396
5 Ir 0.0000 0.0000 0.5000
6 Ir 0.0000 0.5000 0.8749
7 Ir 0.5000 0.5000 0.5000